A relaxed structure of KRhSe4, computed with PBE.

a b c (Å): 8.209 8.209 8.209
angles (deg): 90.00 90.00 90.00
Space group F-43m (No. 216)
Symmetry-distinct sites (fractional):
1 K 0.000 0.000 0.000
2 Rh 0.250 0.250 0.750
3 Se 0.124 0.124 0.376

Values from the calculation:
As for the calculated total energy: -3.3042 eV/atom. The value obtained for the uncorrected formation energy is 0.427 eV per atom.